Computed, not measured: a geometry-optimized K2Te5As2 structure at the PBE level of DFT.

Structure (extended XYZ):
```
9
Lattice="5.713 -0.059 -1.696 -1.016 7.035 -3.595 -0.724 -0.573 9.478" Properties=species:S:1:pos:R:3 pbc="T T T"
K 2.855 2.038 -0.864
K 1.118 4.365 5.050
Te -0.110 3.957 -0.474
Te 3.396 0.139 2.179
Te 0.577 6.263 2.007
Te 4.083 2.446 4.660
Te 0.000 0.000 0.000
As -0.148 6.607 -0.803
As 4.121 -0.204 4.990
```

Its total moment is 0.00 μB per formula unit. For the uncorrected formation energy, the calculation gives -0.354 eV/atom. For the density of states at the Fermi level, the calculation gives 0.06 states/eV per cell.

Computed, not measured: a geometry-optimized K8Te2As structure at the PBE level of DFT.

Structure (extended XYZ):
```
11
Lattice="-2.529 -2.968 -4.391 -3.110 -5.220 5.320 -4.955 9.538 0.333" Properties=species:S:1:pos:R:3 pbc="T T T"
K -5.594 -3.880 1.917
K -6.453 2.791 1.830
K -3.044 2.132 0.312
K -0.760 -1.276 1.300
K -7.550 -0.781 0.950
K -4.140 -1.440 -0.568
K -5.000 5.230 -0.656
K -9.833 2.626 -0.038
Te -4.591 -0.484 2.971
Te -6.002 1.834 -1.709
As -1.264 -1.484 -2.195
```

Its total moment is 0.40 μB per formula unit. For the uncorrected formation energy, the calculation gives -0.607 eV/atom. For the density of states at the Fermi level, the calculation gives 2.01 states/eV per cell.